No. 1
DFT (PBE-GGA) results for a relaxed LiZrMo crystal.

Structure (POSCAR):
```
LiZrMo
1.0
-2.283 3.368 1.185
-3.505 1.042 -2.140
-3.808 -0.541 1.779
Li Mo Zr
1 1 1
Cartesian
-7.197 2.902 0.618 Li
0.000 0.000 0.000 Mo
-4.798 1.935 0.412 Zr
```

The value obtained for the size of the total moment is 0.00 μB per formula unit. As for the calculated total energy: -6.1736 eV/atom. For the formation energy, the calculation gives 2.8 eV/f.u. The calculation puts the density at 6.0 g cm⁻³.



No. 2
DFT (PBE-GGA) results for a relaxed Pr2PuO7 crystal.

Structure (POSCAR):
```
Pr2PuO7
1.0
-4.104 4.628 -2.651
-7.008 -1.272 0.087
-3.350 4.830 5.076
Pr Pu O
4 2 14
Cartesian
-11.203 5.145 1.970 Pr
-6.634 4.053 -1.006 Pr
-7.827 4.133 3.519 Pr
-3.259 3.042 0.543 Pr
-7.691 7.168 1.616 Pu
-6.771 1.019 0.897 Pu
-8.822 5.526 1.705 O
-1.474 1.300 0.524 O
-9.891 5.360 4.108 O
-3.549 4.193 2.614 O
-6.374 5.683 2.467 O
-7.145 6.324 -0.045 O
-9.881 7.943 1.879 O
-4.581 0.244 0.634 O
-7.316 1.863 2.558 O
-8.088 2.503 0.046 O
-10.913 3.994 -0.101 O
-4.571 2.827 -1.595 O
-12.988 6.887 1.989 O
-5.639 2.661 0.808 O
```

The value obtained for the size of the total moment is 0.00 μB per formula unit. As for the calculated total energy: -8.4210 eV/atom. The calculation puts the density at 7.2 g cm⁻³.



No. 3
DFT (PBE-GGA) results for a relaxed BaAcHgAs crystal.

Structure (POSCAR):
```
BaAcHgAs
1.0
-4.438 -3.250 -1.425
0.482 -5.661 0.081
-2.700 -3.025 3.980
As Ac Hg Ba
1 1 1 1
Cartesian
-3.328 -5.967 1.318 As
-4.992 -8.951 1.977 Ac
0.000 0.000 0.000 Hg
-1.664 -2.984 0.659 Ba
```

The value obtained for the size of the total moment is 0.00 μB per formula unit. As for the calculated total energy: -3.3956 eV/atom. For the formation energy, the calculation gives -2.6 eV/f.u. The calculation puts the density at 8.2 g cm⁻³.